P) Entry from Alexandria via LeMat-Bulk: V2CrO6 after structural relaxation (GGA+U).

Properties
**Calculated density**: 3.36 g/cm3
**Space group**: No. 12

```
V2CrO6
1.0
4.9925 -1.7867 0.0000
4.9925 1.7867 0.0000
-1.0868 0.0000 6.9242
V Cr O
2 1 6
Cartesian
2.1351 0.0000 2.1629
6.7631 0.0000 4.7613
4.9925 0.0000 0.0000
0.9929 0.0000 0.8632
2.0751 0.0000 4.2161
3.6893 0.0000 1.5236
5.2090 0.0000 5.4006
6.8232 0.0000 2.7080
7.9053 0.0000 6.0609
```



Q) Entry from Alexandria via LeMat-Bulk: V2CrO6 after structural relaxation (GGA+U).

Properties
**Calculated density**: 3.37 g/cm3
**Space group**: No. 2

```
V2CrO6
1.0
5.5307 0.0000 0.0000
2.1388 6.4142 0.0000
1.4632 0.3457 6.9437
V Cr O
4 2 12
Cartesian
1.9093 2.2006 0.7484
4.3450 5.9343 4.9560
4.7877 0.8256 1.9877
7.2235 4.5593 6.1953
3.1521 2.8847 4.0494
5.9807 3.8753 2.8943
0.7937 0.7555 1.1408
2.2097 3.0935 2.3115
3.4624 3.2474 6.0540
2.4818 1.0440 4.2414
4.2584 4.6185 3.7325
5.6174 5.5687 6.0737
3.5153 1.1913 0.8700
4.8744 2.1414 3.2111
6.6510 5.7159 2.7022
5.6704 3.5125 0.8897
6.9230 3.6665 4.6322
8.3391 6.0045 5.8028
```



Which of them is the least stable? Correct choice: P).



P) Entry from Alexandria via LeMat-Bulk: VCr3O after structural relaxation (GGA+U).

Properties
**Calculated density**: 3.32 g/cm3
**Space group**: No. 221

```
VCr3O
1.0
4.8112 0.0000 0.0000
0.0000 4.8112 0.0000
0.0000 0.0000 4.8112
V Cr O
1 3 1
Cartesian
0.0000 0.0000 0.0000
0.0000 0.0000 2.4056
0.0000 2.4056 0.0000
2.4056 0.0000 0.0000
2.4056 2.4056 2.4056
```



Q) Entry from Alexandria via LeMat-Bulk: VCr3O after structural relaxation (GGA+U).

Properties
**Calculated density**: 4.76 g/cm3
**Space group**: No. 221

```
VCr3O
1.0
4.2671 0.0000 0.0000
0.0000 4.2671 0.0000
0.0000 0.0000 4.2671
V Cr O
1 3 1
Cartesian
0.0000 0.0000 0.0000
0.0000 2.1335 2.1335
2.1335 0.0000 2.1335
2.1335 2.1335 0.0000
2.1335 2.1335 2.1335
```



Which of them is the least stable? Correct choice: P).



P) Entry from Alexandria via LeMat-Bulk: V3CrO after structural relaxation (GGA+U).

Properties
**Calculated density**: 3.56 g/cm3
**Space group**: No. 221

```
V3CrO
1.0
4.6868 0.0000 0.0000
0.0000 4.6868 0.0000
0.0000 0.0000 4.6868
V Cr O
3 1 1
Cartesian
0.0000 0.0000 2.3434
0.0000 2.3434 0.0000
2.3434 0.0000 0.0000
0.0000 0.0000 0.0000
2.3434 2.3434 2.3434
```



Q) Entry from Alexandria via LeMat-Bulk: V3CrO after structural relaxation (GGA+U).

Properties
**Calculated density**: 5.39 g/cm3
**Space group**: No. 221

```
V3CrO
1.0
4.0814 0.0000 0.0000
0.0000 4.0814 0.0000
0.0000 0.0000 4.0814
V Cr O
3 1 1
Cartesian
0.0000 0.0000 2.0407
0.0000 2.0407 0.0000
2.0407 0.0000 0.0000
2.0407 2.0407 2.0407
0.0000 0.0000 0.0000
```



Which of them is the least stable? Correct choice: P).



P) Entry from Alexandria via LeMat-Bulk: CrWO2 after structural relaxation (GGA+U).

Properties
**Calculated density**: 10.42 g/cm3
**Space group**: No. 225

```
CrWO2
1.0
0.0000 2.7738 2.7738
2.7738 0.0000 2.7738
2.7738 2.7738 0.0000
Cr W O
1 1 2
Cartesian
0.0000 0.0000 0.0000
2.7738 2.7738 2.7738
1.3869 1.3869 1.3869
4.1606 4.1606 4.1606
```



Q) Entry from Alexandria via LeMat-Bulk: CrWO2 after structural relaxation (GGA+U).

Properties
**Calculated density**: 7.64 g/cm3
**Space group**: No. 122

```
CrWO2
1.0
-2.4600 2.4600 4.8085
2.4600 -2.4600 4.8085
2.4600 2.4600 -4.8085
Cr W O
2 2 4
Cartesian
0.0000 0.0000 0.0000
0.0000 2.4600 2.4043
2.4600 0.0000 2.4043
0.0000 0.0000 4.8085
1.2300 -1.1543 3.6064
1.3057 1.2300 1.2021
1.2300 3.6143 -1.2021
1.1543 1.2300 6.0107
```



R) Entry from Alexandria via LeMat-Bulk: CrWO2 after structural relaxation (GGA+U).

Properties
**Calculated density**: 9.19 g/cm3
**Space group**: No. 166

```
CrWO2
1.0
1.4340 0.8279 6.7897
-1.4340 0.8279 6.7897
0.0000 -1.6559 6.7897
Cr W O
1 1 2
Cartesian
0.0000 0.0000 0.0000
0.0000 0.0000 10.1846
0.0000 0.0000 1.9962
0.0000 0.0000 18.3730
```



S) Entry from Alexandria via LeMat-Bulk: CrWO2 after structural relaxation (GGA+U).

Properties
**Calculated density**: 8.85 g/cm3
**Space group**: No. 166

```
CrWO2
1.0
1.5204 0.8778 6.2777
-1.5204 0.8778 6.2777
0.0000 -1.7556 6.2777
Cr W O
1 1 2
Cartesian
0.0000 0.0000 0.0000
0.0000 0.0000 9.4166
0.0000 0.0000 7.2922
0.0000 0.0000 11.5410
```



Which of them is the least stable? Correct choice: P).



P) Entry from Alexandria via LeMat-Bulk: ZnCr2O after structural relaxation (GGA+U).

Properties
**Calculated density**: 3.89 g/cm3
**Space group**: No. 122

```
ZnCr2O
1.0
-2.7854 2.7854 5.1054
2.7854 -2.7854 5.1054
2.7854 2.7854 -5.1054
Zn Cr O
2 4 2
Cartesian
0.0000 0.0000 0.0000
0.0000 2.7854 2.5527
1.3927 -0.5966 3.8290
2.1888 1.3927 1.2763
1.3927 3.3820 -1.2763
0.5966 1.3927 6.3817
2.7854 0.0000 2.5527
0.0000 0.0000 5.1054
```



Q) Entry from Alexandria via LeMat-Bulk: ZnCr2O after structural relaxation (GGA+U).

Properties
**Calculated density**: 5.16 g/cm3
**Space group**: No. 225

```
ZnCr2O
1.0
0.0000 3.1012 3.1012
3.1012 0.0000 3.1012
3.1012 3.1012 0.0000
Zn Cr O
1 2 1
Cartesian
0.0000 0.0000 0.0000
1.5506 1.5506 1.5506
4.6519 4.6519 4.6519
3.1012 3.1012 3.1012
```



Which of them is the least stable? Correct choice: Q).